1.
A plane-wave DFT calculation with meta-GGA SCAN was carried out for RbP2AuS at its PBEsol-relaxed geometry.

* formation energy (no corrections): 0.39 eV per atom
* symmetry: P4/mmm
* crystal system: tetragonal

extended XYZ file:
```
5
Lattice="4.8131 0.0000 0.0000 0.0000 4.8131 0.0000 0.0000 0.0000 5.2266" Properties=species:S:1:pos:R:3 pbc="T T T"
Rb 0.0000 0.0000 0.0000
P 0.0000 2.4065 2.6133
P 2.4065 0.0000 2.6133
Au 2.4065 2.4065 2.6133
S 2.4065 2.4065 0.0000
```


2.
A plane-wave DFT calculation with meta-GGA SCAN was carried out for Re2PAu at its PBEsol-relaxed geometry.

* symmetry: P2/m
* ΔH_f (0 K): 31 kJ per mole of atoms
* crystal system: monoclinic

extended XYZ file:
```
4
Lattice="2.9529 0.0000 0.0000 0.0000 3.7990 0.0000 -1.3680 0.0000 5.1977" Properties=species:S:1:pos:R:3 pbc="T T T"
Re 0.0280 0.0000 1.4430
Re 1.5569 0.0000 3.7548
P 0.7924 1.8995 2.5989
Au 1.4764 1.8995 0.0000
```


3.
A plane-wave DFT calculation with meta-GGA SCAN was carried out for Re2PAu at its PBEsol-relaxed geometry.

* symmetry: P4/mmm
* ΔH_f (0 K): 54 kJ per mole of atoms
* crystal system: tetragonal

extended XYZ file:
```
4
Lattice="4.3430 0.0000 0.0000 0.0000 4.3430 0.0000 0.0000 0.0000 3.0146" Properties=species:S:1:pos:R:3 pbc="T T T"
Re 0.0000 2.1715 0.0000
Re 2.1715 0.0000 0.0000
P 0.0000 0.0000 1.5073
Au 2.1715 2.1715 1.5073
```


4.
A plane-wave DFT calculation with meta-GGA SCAN was carried out for ReP3Au at its PBEsol-relaxed geometry.

* symmetry: Pm-3m
* ΔH_f (0 K): 77 kJ per mole of atoms
* crystal system: cubic

extended XYZ file:
```
5
Lattice="4.5749 0.0000 0.0000 0.0000 4.5749 0.0000 0.0000 0.0000 4.5749" Properties=species:S:1:pos:R:3 pbc="T T T"
Re 0.0000 0.0000 0.0000
P 0.0000 0.0000 2.2875
P 0.0000 2.2875 0.0000
P 2.2875 0.0000 0.0000
Au 2.2875 2.2875 2.2875
```


5.
A plane-wave DFT calculation with meta-GGA SCAN was carried out for RePAu2 at its PBEsol-relaxed geometry.

* symmetry: Pmmm
* ΔH_f (0 K): 64 kJ per mole of atoms
* crystal system: orthorhombic

extended XYZ file:
```
4
Lattice="2.9342 0.0000 0.0000 0.0000 4.3216 0.0000 0.0000 0.0000 4.9154" Properties=species:S:1:pos:R:3 pbc="T T T"
Re 0.0000 0.0000 0.0000
P 1.4671 2.1608 0.0000
Au 0.0000 2.1608 2.4577
Au 1.4671 0.0000 2.4577
```


6.
A plane-wave DFT calculation with meta-GGA SCAN was carried out for RePAu2 at its PBEsol-relaxed geometry.

* symmetry: P4/mmm
* ΔH_f (0 K): 63 kJ per mole of atoms
* crystal system: tetragonal

extended XYZ file:
```
4
Lattice="2.7196 0.0000 0.0000 0.0000 2.7196 0.0000 0.0000 0.0000 8.6041" Properties=species:S:1:pos:R:3 pbc="T T T"
Re 0.0000 0.0000 0.0000
P 0.0000 0.0000 4.3021
Au 1.3598 1.3598 2.0943
Au 1.3598 1.3598 6.5098
```


7.
A plane-wave DFT calculation with meta-GGA SCAN was carried out for RePAu at its PBEsol-relaxed geometry.

* symmetry: F-43m
* ΔH_f (0 K): 147 kJ per mole of atoms
* polymorph energy (0 for the lowest one): 1322 meV per atom
* crystal system: cubic

extended XYZ file:
```
12
Lattice="6.0258 0.0000 0.0000 0.0000 6.0258 0.0000 0.0000 0.0000 6.0258" Properties=species:S:1:pos:R:3 pbc="T T T"
Re 0.0000 0.0000 0.0000
Re 0.0000 3.0129 3.0129
Re 3.0129 0.0000 3.0129
Re 3.0129 3.0129 0.0000
P 0.0000 0.0000 3.0129
P 0.0000 3.0129 0.0000
P 3.0129 0.0000 0.0000
P 3.0129 3.0129 3.0129
Au 1.5065 1.5065 1.5065
Au 1.5065 4.5194 4.5194
Au 4.5194 1.5065 4.5194
Au 4.5194 4.5194 1.5065
```


8.
A plane-wave DFT calculation with meta-GGA SCAN was carried out for RePAu2 at its PBEsol-relaxed geometry.

* symmetry: Immm
* ΔH_f (0 K): 39 kJ per mole of atoms
* crystal system: orthorhombic

extended XYZ file:
```
8
Lattice="2.8789 0.0000 0.0000 0.0000 3.7954 0.0000 0.0000 0.0000 11.8470" Properties=species:S:1:pos:R:3 pbc="T T T"
Re 0.0000 0.0000 0.0000
Re 1.4395 1.8977 5.9235
P 0.0000 0.0000 5.9235
P 1.4395 1.8977 0.0000
Au 0.0000 1.8977 2.2073
Au 0.0000 1.8977 9.6398
Au 1.4395 0.0000 3.7162
Au 1.4395 0.0000 8.1308
```


9.
A plane-wave DFT calculation with meta-GGA SCAN was carried out for ReP2Au at its PBEsol-relaxed geometry.

* symmetry: Cmmm
* ΔH_f (0 K): 44 kJ per mole of atoms
* crystal system: orthorhombic

extended XYZ file:
```
8
Lattice="2.8467 0.0000 0.0000 0.0000 4.7159 0.0000 0.0000 0.0000 9.9125" Properties=species:S:1:pos:R:3 pbc="T T T"
Re 0.0000 0.0000 0.0000
Re 1.4234 2.3579 0.0000
P 0.0000 2.3579 1.9629
P 0.0000 2.3579 7.9496
P 1.4234 0.0000 1.9629
P 1.4234 0.0000 7.9496
Au 0.0000 0.0000 4.9562
Au 1.4234 2.3579 4.9562
```


10.
A plane-wave DFT calculation with meta-GGA SCAN was carried out for RePAu at its PBEsol-relaxed geometry.

* symmetry: P3m1
* ΔH_f (0 K): 19 kJ per mole of atoms
* polymorph energy (0 for the lowest one): 0 meV per atom
* crystal system: trigonal

extended XYZ file:
```
3
Lattice="2.8934 0.0000 0.0000 -1.4467 2.5057 0.0000 0.0000 0.0000 6.3867" Properties=species:S:1:pos:R:3 pbc="T T T"
Re 0.0000 0.0000 0.0000
P 1.4467 0.8352 1.6415
Au 0.0000 1.6705 4.0226
```


11.
A plane-wave DFT calculation with meta-GGA SCAN was carried out for P2RhAu at its PBEsol-relaxed geometry.

* symmetry: Imm2
* ΔH_f (0 K): 23 kJ per mole of atoms
* polymorph energy (0 for the lowest one): 351 meV per atom
* crystal system: orthorhombic

extended XYZ file:
```
8
Lattice="3.0286 0.0000 0.0000 0.0000 4.5207 0.0000 0.0000 0.0000 8.4098" Properties=species:S:1:pos:R:3 pbc="T T T"
P 0.0000 0.0000 0.0000
P 0.0000 2.2604 2.3146
P 1.5143 0.0000 6.5195
P 1.5143 2.2604 4.2049
Rh 0.0000 2.2604 6.0049
Rh 1.5143 0.0000 1.8000
Au 0.0000 0.0000 4.2674
Au 1.5143 2.2604 0.0624
```


12.
A plane-wave DFT calculation with meta-GGA SCAN was carried out for PRhAu2 at its PBEsol-relaxed geometry.

* symmetry: Cmmm
* ΔH_f (0 K): 32 kJ per mole of atoms
* crystal system: orthorhombic

extended XYZ file:
```
8
Lattice="5.2696 0.0000 0.0000 0.0000 7.8980 0.0000 0.0000 0.0000 2.9816" Properties=species:S:1:pos:R:3 pbc="T T T"
P 0.0000 0.0000 0.0000
P 2.6348 3.9490 0.0000
Rh 0.0000 3.9490 0.0000
Rh 2.6348 0.0000 0.0000
Au 1.3174 1.9745 1.4908
Au 1.3174 5.9235 1.4908
Au 3.9522 1.9745 1.4908
Au 3.9522 5.9235 1.4908
```


13.
A plane-wave DFT calculation with meta-GGA SCAN was carried out for P3RhAu at its PBEsol-relaxed geometry.

* symmetry: Pm-3m
* ΔH_f (0 K): 147 kJ per mole of atoms
* crystal system: cubic

extended XYZ file:
```
5
Lattice="4.6517 0.0000 0.0000 0.0000 4.6517 0.0000 0.0000 0.0000 4.6517" Properties=species:S:1:pos:R:3 pbc="T T T"
P 0.0000 0.0000 2.3259
P 0.0000 2.3259 0.0000
P 2.3259 0.0000 0.0000
Rh 2.3259 2.3259 2.3259
Au 0.0000 0.0000 0.0000
```


14.
A plane-wave DFT calculation with meta-GGA SCAN was carried out for P2RhAu at its PBEsol-relaxed geometry.

* symmetry: Immm
* ΔH_f (0 K): 19 kJ per mole of atoms
* polymorph energy (0 for the lowest one): 314 meV per atom
* crystal system: orthorhombic

extended XYZ file:
```
8
Lattice="2.7574 0.0000 0.0000 0.0000 4.5967 0.0000 0.0000 0.0000 10.0915" Properties=species:S:1:pos:R:3 pbc="T T T"
P 0.0000 0.0000 1.9468
P 0.0000 0.0000 8.1447
P 1.3787 2.2983 3.0990
P 1.3787 2.2983 6.9926
Rh 0.0000 2.2983 5.0458
Rh 1.3787 0.0000 0.0000
Au 0.0000 2.2983 0.0000
Au 1.3787 0.0000 5.0458
```


15.
A plane-wave DFT calculation with meta-GGA SCAN was carried out for P2RhAu at its PBEsol-relaxed geometry.

* symmetry: Pm
* ΔH_f (0 K): -11 kJ per mole of atoms
* polymorph energy (0 for the lowest one): 9 meV per atom
* crystal system: monoclinic

extended XYZ file:
```
4
Lattice="4.1896 0.0000 0.0000 0.0000 3.2187 0.0000 -2.0807 0.0000 4.3911" Properties=species:S:1:pos:R:3 pbc="T T T"
P 0.0000 0.0000 0.0000
P 1.4939 1.6093 0.5660
Rh 2.7158 0.0000 1.8742
Au 0.5745 1.6093 2.8847
```


| no. | energy (eV/atom) | V (Å³/f.u.) |
| --- | --- | --- |
| 1 | -23.673 | 121 |
| 2 | -55.115 | 58 |
| 3 | -54.878 | 57 |
| 4 | -33.490 | 96 |
| 5 | -54.284 | 62 |
| 6 | -54.302 | 64 |
| 7 | -48.694 | 55 |
| 8 | -54.553 | 65 |
| 9 | -39.803 | 67 |
| 10 | -50.016 | 46 |
| 11 | -30.698 | 58 |
| 12 | -45.293 | 62 |
| 13 | -25.305 | 101 |
| 14 | -30.735 | 64 |
| 15 | -31.041 | 59 |